Density functional theory data (PBE) for Te2Pt2Rh after structural relaxation.

Volume: 197.1 Å³/cell
Electronic total energy: -5.3758 eV/atom
N(E_F): 0.36 states/eV per atom
Uncorrected formation energy: -0.233 eV/atom
Magnetic moment: 0.00 μB per formula unit

Cell: 6.9618 6.9618 5.5803 Å, 113.62 113.62 54.73°
Fractional coordinates of all 10 atoms:
1 Te 0.0841 0.6188 0.8514
2 Te 0.3812 0.9159 0.6486
3 Te 0.6188 0.0841 0.3514
4 Te 0.9159 0.3812 0.1486
5 Pt 0.2546 0.5230 0.3893
6 Pt 0.4770 0.7454 0.1107
7 Pt 0.5230 0.2546 0.8893
8 Pt 0.7454 0.4770 0.6107
9 Rh 0.0004 0.9996 0.2500
10 Rh 0.9996 0.0004 0.7500


Density functional theory data (PBE) for TePtRh2 after structural relaxation.

Volume: 68.1 Å³/cell
Electronic total energy: -5.7658 eV/atom
N(E_F): 1.65 states/eV per atom
Excess energy over the best structure of this formula in the dataset: 209 meV/atom
Uncorrected formation energy: 0.206 eV/atom
Magnetic moment: 0.00 μB per formula unit

Cell: 8.5044 8.5044 8.5044 Å, 20.83 20.83 20.83°
Fractional coordinates of all 4 atoms:
1 Te 0.0000 0.0000 0.0000
2 Pt 0.5000 0.5000 0.5000
3 Rh 0.2539 0.2539 0.2539
4 Rh 0.7461 0.7461 0.7461


Density functional theory data (PBE) for Th6Te3PtRh2 after structural relaxation.

Volume: 352.8 Å³/cell
Electronic total energy: -7.3069 eV/atom
N(E_F): 0.77 states/eV per atom
Uncorrected formation energy: -1.083 eV/atom
Magnetic moment: 0.00 μB per formula unit

Cell: 7.2829 7.2829 8.0574 Å, 98.66 98.66 120.03°
Fractional coordinates of all 12 atoms:
1 Th 0.0925 0.4309 0.7933
2 Th 0.2304 0.2304 0.2060
3 Th 0.4309 0.0925 0.7933
4 Th 0.5691 0.9075 0.2067
5 Th 0.7696 0.7696 0.7940
6 Th 0.9075 0.5691 0.2067
7 Te 0.0000 0.0000 0.5000
8 Te 0.3347 0.6653 0.5000
9 Te 0.6653 0.3347 0.5000
10 Pt 0.5000 0.5000 0.0000
11 Rh 0.1669 0.8331 0.0000
12 Rh 0.8331 0.1669 0.0000


Density functional theory data (PBE) for Th4Te2PtRh after structural relaxation.

Volume: 236.3 Å³/cell
Electronic total energy: -7.2730 eV/atom
N(E_F): 0.83 states/eV per atom
Uncorrected formation energy: -1.104 eV/atom
Magnetic moment: 0.00 μB per formula unit

Cell: 7.2398 4.2579 8.0350 Å, 90.00 107.41 90.00°
Fractional coordinates of all 8 atoms:
1 Th 0.2345 0.0000 0.2076
2 Th 0.2570 0.5000 0.7932
3 Th 0.7430 0.5000 0.2068
4 Th 0.7655 0.0000 0.7924
5 Te 0.0000 0.0000 0.5000
6 Te 0.5000 0.5000 0.5000
7 Pt 0.5000 0.0000 0.0000
8 Rh 0.0000 0.5000 0.0000


Density functional theory data (PBE) for Th8Te4Pt3Rh after structural relaxation.

Volume: 475.4 Å³/cell
Electronic total energy: -7.2220 eV/atom
N(E_F): 0.85 states/eV per atom
Uncorrected formation energy: -1.135 eV/atom
Magnetic moment: 0.00 μB per formula unit

Cell: 8.5443 8.5443 9.1271 Å, 118.51 118.51 58.44°
Fractional coordinates of all 16 atoms:
1 Th 0.2357 0.7428 0.7082
2 Th 0.2368 0.2368 0.7091
3 Th 0.2572 0.7643 0.2918
4 Th 0.2617 0.2617 0.2904
5 Th 0.7383 0.7383 0.7096
6 Th 0.7428 0.2357 0.7082
7 Th 0.7632 0.7632 0.2909
8 Th 0.7643 0.2572 0.2918
9 Te 0.0000 0.0000 0.0000
10 Te 0.0000 0.5000 0.0000
11 Te 0.5000 0.0000 0.0000
12 Te 0.5000 0.5000 0.0000
13 Pt 0.0000 0.5000 0.5000
14 Pt 0.5000 0.0000 0.5000
15 Pt 0.5000 0.5000 0.5000
16 Rh 0.0000 0.0000 0.5000


Density functional theory data (PBE) for Th5PtRh4 after structural relaxation.

Volume: 248.4 Å³/cell
Electronic total energy: -8.2304 eV/atom
N(E_F): 0.47 states/eV per atom
Energy of formation from the pure elements: -0.9758 eV/atom
Magnetic moment: 0.00 μB per formula unit

Cell: 10.9480 10.9480 10.9480 Å, 158.35 149.09 38.05°
Fractional coordinates of all 10 atoms:
1 Th 0.0000 0.0000 0.0000
2 Th 0.1987 0.1987 0.0000
3 Th 0.3959 0.3959 0.0000
4 Th 0.6041 0.6041 0.0000
5 Th 0.8013 0.8013 0.0000
6 Pt 0.5000 0.0000 0.5000
7 Rh 0.0992 0.5992 0.5000
8 Rh 0.2982 0.7982 0.5000
9 Rh 0.7018 0.2018 0.5000
10 Rh 0.9008 0.4008 0.5000


Density functional theory data (PBE) for Th2Pt15Rh2 after structural relaxation.

Volume: 333.3 Å³/cell
Electronic total energy: -6.7905 eV/atom
N(E_F): 1.07 states/eV per atom
Energy of formation from the pure elements: -0.4666 eV/atom
Magnetic moment: 0.00 μB per formula unit

Cell: 6.9787 6.9787 6.9787 Å, 83.22 83.22 83.22°
Fractional coordinates of all 19 atoms:
1 Th 0.1716 0.1716 0.1716
2 Th 0.8284 0.8284 0.8284
3 Pt 0.0000 0.5000 0.5000
4 Pt 0.1511 0.1511 0.6592
5 Pt 0.1511 0.6592 0.1511
6 Pt 0.1926 0.5000 0.8074
7 Pt 0.1926 0.8074 0.5000
8 Pt 0.3408 0.8489 0.8489
9 Pt 0.5000 0.0000 0.5000
10 Pt 0.5000 0.1926 0.8074
11 Pt 0.5000 0.5000 0.0000
12 Pt 0.5000 0.8074 0.1926
13 Pt 0.6592 0.1511 0.1511
14 Pt 0.8074 0.1926 0.5000
15 Pt 0.8074 0.5000 0.1926
16 Pt 0.8489 0.3408 0.8489
17 Pt 0.8489 0.8489 0.3408
18 Rh 0.3946 0.3946 0.3946
19 Rh 0.6054 0.6054 0.6054


Density functional theory data (PBE) for Th2PtRh after structural relaxation.

Volume: 101.5 Å³/cell
Electronic total energy: -8.1326 eV/atom
N(E_F): 0.48 states/eV per atom
Energy of formation from the pure elements: -1.0746 eV/atom
Magnetic moment: 0.00 μB per formula unit

Cell: 7.2522 7.2522 7.2522 Å, 33.14 33.14 33.14°
Fractional coordinates of all 4 atoms:
1 Th 0.2472 0.2472 0.2472
2 Th 0.7528 0.7528 0.7528
3 Pt 0.0000 0.0000 0.0000
4 Rh 0.5000 0.5000 0.5000


Density functional theory data (PBE) for Th4PtRh3 after structural relaxation.

Volume: 199.7 Å³/cell
Electronic total energy: -8.2072 eV/atom
N(E_F): 0.55 states/eV per atom
Excess energy over the best structure of this formula in the dataset: 7 meV/atom
Energy of formation from the pure elements: -0.9854 eV/atom
Magnetic moment: 0.00 μB per formula unit

Cell: 5.8448 5.8448 5.8448 Å, 90.00 90.00 90.00°
Fractional coordinates of all 8 atoms:
1 Th 0.0000 0.0000 0.0000
2 Th 0.0000 0.5000 0.5000
3 Th 0.5000 0.0000 0.5000
4 Th 0.5000 0.5000 0.0000
5 Pt 0.5000 0.5000 0.5000
6 Rh 0.0000 0.0000 0.5000
7 Rh 0.0000 0.5000 0.0000
8 Rh 0.5000 0.0000 0.0000


Density functional theory data (PBE) for Th4PtRh12 after structural relaxation.

Volume: 307.6 Å³/cell
Electronic total energy: -7.9256 eV/atom
N(E_F): 1.35 states/eV per atom
Energy of formation from the pure elements: -0.6352 eV/atom
Magnetic moment: 0.00 μB per formula unit

Cell: 7.3652 7.3652 7.3652 Å, 109.47 109.47 109.47°
Fractional coordinates of all 17 atoms:
1 Th 0.0000 0.0000 0.5000
2 Th 0.0000 0.5000 0.0000
3 Th 0.5000 0.0000 0.0000
4 Th 0.5000 0.5000 0.5000
5 Pt 0.0000 0.0000 0.0000
6 Rh 0.0000 0.3024 0.3024
7 Rh 0.0000 0.6976 0.6976
8 Rh 0.2500 0.5000 0.7500
9 Rh 0.2500 0.7500 0.5000
10 Rh 0.3024 0.0000 0.3024
11 Rh 0.3024 0.3024 0.0000
12 Rh 0.5000 0.2500 0.7500
13 Rh 0.5000 0.7500 0.2500
14 Rh 0.6976 0.0000 0.6976
15 Rh 0.6976 0.6976 0.0000
16 Rh 0.7500 0.2500 0.5000
17 Rh 0.7500 0.5000 0.2500


Density functional theory data (PBE) for Th6PtRh5 after structural relaxation.

Volume: 297.3 Å³/cell
Electronic total energy: -8.2397 eV/atom
N(E_F): 0.58 states/eV per atom
Energy of formation from the pure elements: -0.9632 eV/atom
Magnetic moment: 0.00 μB per formula unit

Cell: 7.1446 7.1446 7.1266 Å, 99.58 99.58 119.92°
Fractional coordinates of all 12 atoms:
1 Th 0.0765 0.4153 0.7464
2 Th 0.2442 0.2442 0.2508
3 Th 0.4153 0.0765 0.7464
4 Th 0.5847 0.9235 0.2536
5 Th 0.7558 0.7558 0.7492
6 Th 0.9235 0.5847 0.2536
7 Pt 0.5000 0.5000 0.0000
8 Rh 0.0000 0.0000 0.5000
9 Rh 0.1671 0.8329 0.0000
10 Rh 0.3364 0.6636 0.5000
11 Rh 0.6636 0.3364 0.5000
12 Rh 0.8329 0.1671 0.0000


Density functional theory data (PBE) for Th4PtRh3 after structural relaxation.

Volume: 199.5 Å³/cell
Electronic total energy: -8.2144 eV/atom
N(E_F): 0.51 states/eV per atom
Excess energy over the best structure of this formula in the dataset: 0 meV/atom
Energy of formation from the pure elements: -0.9926 eV/atom
Magnetic moment: 0.00 μB per formula unit

Cell: 7.1578 7.1578 4.1307 Å, 90.00 90.00 109.51°
Fractional coordinates of all 8 atoms:
1 Th 0.2446 0.2446 0.5000
2 Th 0.2475 0.7525 0.0000
3 Th 0.7525 0.2475 0.0000
4 Th 0.7554 0.7554 0.5000
5 Pt 0.5000 0.5000 0.0000
6 Rh 0.0000 0.0000 0.0000
7 Rh 0.0000 0.5000 0.5000
8 Rh 0.5000 0.0000 0.5000


Density functional theory data (PBE) for Th4Pt2Rh5 after structural relaxation.

Volume: 270.3 Å³/cell
Electronic total energy: -7.5931 eV/atom
N(E_F): 0.63 states/eV per atom
Energy of formation from the pure elements: -0.4551 eV/atom
Magnetic moment: 0.00 μB per formula unit

Cell: 10.3052 7.8745 7.5614 Å, 83.74 49.43 46.83°
Fractional coordinates of all 11 atoms:
1 Th 0.0108 0.7361 0.2639
2 Th 0.2639 0.9892 0.0108
3 Th 0.7361 0.0108 0.9892
4 Th 0.9892 0.2639 0.7361
5 Pt 0.3058 0.6942 0.3058
6 Pt 0.6942 0.3058 0.6942
7 Rh 0.0000 0.0000 0.0000
8 Rh 0.0000 0.5000 0.0000
9 Rh 0.2500 0.2500 0.2500
10 Rh 0.5000 0.0000 0.5000
11 Rh 0.7500 0.7500 0.7500


Density functional theory data (PBE) for Th3Pt2Rh2 after structural relaxation.

Volume: 321.4 Å³/cell
Electronic total energy: -8.0402 eV/atom
N(E_F): 0.61 states/eV per atom
Energy of formation from the pure elements: -1.0339 eV/atom
Magnetic moment: 0.00 μB per formula unit

Cell: 7.4740 7.4740 7.4740 Å, 109.47 109.47 109.47°
Fractional coordinates of all 14 atoms:
1 Th 0.1323 0.7500 0.8823
2 Th 0.2500 0.6177 0.3677
3 Th 0.3677 0.2500 0.6177
4 Th 0.6177 0.3677 0.2500
5 Th 0.7500 0.8823 0.1323
6 Th 0.8823 0.1323 0.7500
7 Pt 0.0000 0.8293 0.5000
8 Pt 0.5000 0.0000 0.8293
9 Pt 0.6707 0.6707 0.6707
10 Pt 0.8293 0.5000 0.0000
11 Rh 0.0000 0.3375 0.5000
12 Rh 0.1625 0.1625 0.1625
13 Rh 0.3375 0.5000 0.0000
14 Rh 0.5000 0.0000 0.3375


Density functional theory data (PBE) for Th8PtRh5 after structural relaxation.

Volume: 355.3 Å³/cell
Electronic total energy: -8.1049 eV/atom
N(E_F): 1.00 states/eV per atom
Energy of formation from the pure elements: -0.8080 eV/atom
Magnetic moment: 0.00 μB per formula unit

Cell: 7.7285 7.7285 7.7285 Å, 109.02 109.02 110.38°
Fractional coordinates of all 14 atoms:
1 Th 0.0200 0.3830 0.2553
2 Th 0.1240 0.2680 0.7502
3 Th 0.1276 0.7646 0.7447
4 Th 0.2354 0.9800 0.3630
5 Th 0.5178 0.3737 0.2498
6 Th 0.6170 0.8724 0.6370
7 Th 0.6263 0.8760 0.1440
8 Th 0.7320 0.4822 0.8560
9 Pt 0.0000 0.0000 0.0000
10 Rh 0.2417 0.6237 0.1160
11 Rh 0.3763 0.4922 0.6180
12 Rh 0.5078 0.1257 0.8840
13 Rh 0.7500 0.2500 0.5000
14 Rh 0.8743 0.7583 0.3820


Density functional theory data (PBE) for Th2PtRh4 after structural relaxation.

Volume: 265.6 Å³/cell
Electronic total energy: -7.7115 eV/atom
N(E_F): 0.53 states/eV per atom
Energy of formation from the pure elements: -0.5277 eV/atom
Magnetic moment: 0.00 μB per formula unit

Cell: 5.6780 5.6780 9.7146 Å, 90.00 90.00 58.00°
Fractional coordinates of all 14 atoms:
1 Th 0.1571 0.1571 0.0000
2 Th 0.3429 0.3429 0.5000
3 Th 0.6571 0.6571 0.5000
4 Th 0.8429 0.8429 0.0000
5 Pt 0.0000 0.0000 0.5000
6 Pt 0.5000 0.5000 0.0000
7 Rh 0.1610 0.3390 0.7500
8 Rh 0.1867 0.8133 0.7625
9 Rh 0.3133 0.6867 0.2625
10 Rh 0.3390 0.1610 0.2500
11 Rh 0.6610 0.8390 0.7500
12 Rh 0.6867 0.3133 0.7375
13 Rh 0.8133 0.1867 0.2375
14 Rh 0.8390 0.6610 0.2500


Density functional theory data (PBE) for Th4Pt6Rh7 after structural relaxation.

Volume: 316.1 Å³/cell
Electronic total energy: -7.7521 eV/atom
N(E_F): 1.11 states/eV per atom
Energy of formation from the pure elements: -0.8472 eV/atom
Magnetic moment: 0.00 μB per formula unit

Cell: 7.4328 7.4328 7.4328 Å, 109.47 109.47 109.47°
Fractional coordinates of all 17 atoms:
1 Th 0.0000 0.0000 0.5000
2 Th 0.0000 0.5000 0.0000
3 Th 0.5000 0.0000 0.0000
4 Th 0.5000 0.5000 0.5000
5 Pt 0.0000 0.3019 0.3019
6 Pt 0.0000 0.6981 0.6981
7 Pt 0.3019 0.0000 0.3019
8 Pt 0.3019 0.3019 0.0000
9 Pt 0.6981 0.0000 0.6981
10 Pt 0.6981 0.6981 0.0000
11 Rh 0.0000 0.0000 0.0000
12 Rh 0.2500 0.5000 0.7500
13 Rh 0.2500 0.7500 0.5000
14 Rh 0.5000 0.2500 0.7500
15 Rh 0.5000 0.7500 0.2500
16 Rh 0.7500 0.2500 0.5000
17 Rh 0.7500 0.5000 0.2500


Density functional theory data (PBE) for Th2PtRh after structural relaxation.

Volume: 117.7 Å³/cell
Electronic total energy: -7.3827 eV/atom
N(E_F): 0.78 states/eV per atom
Energy of formation from the pure elements: -0.3247 eV/atom
Magnetic moment: 0.00 μB per formula unit

Cell: 8.8994 8.8994 8.8994 Å, 25.81 25.81 25.81°
Fractional coordinates of all 4 atoms:
1 Th 0.0978 0.0978 0.0978
2 Th 0.9022 0.9022 0.9022
3 Pt 0.5000 0.5000 0.5000
4 Rh 0.0000 0.0000 0.0000


Density functional theory data (PBE) for Th6Pt5Rh after structural relaxation.

Volume: 310.9 Å³/cell
Electronic total energy: -7.9945 eV/atom
N(E_F): 0.55 states/eV per atom
Energy of formation from the pure elements: -1.1549 eV/atom
Magnetic moment: 0.00 μB per formula unit

Cell: 7.2524 7.2524 7.2109 Å, 99.56 99.56 119.69°
Fractional coordinates of all 12 atoms:
1 Th 0.0819 0.4098 0.7463
2 Th 0.2452 0.2452 0.2521
3 Th 0.4098 0.0819 0.7463
4 Th 0.5902 0.9181 0.2537
5 Th 0.7548 0.7548 0.7479
6 Th 0.9181 0.5902 0.2537
7 Pt 0.1688 0.8312 0.0000
8 Pt 0.3336 0.6664 0.5000
9 Pt 0.5000 0.5000 0.0000
10 Pt 0.6664 0.3336 0.5000
11 Pt 0.8312 0.1688 0.0000
12 Rh 0.0000 0.0000 0.5000


Density functional theory data (PBE) for Th2PtRh after structural relaxation.

Volume: 103.0 Å³/cell
Electronic total energy: -7.9938 eV/atom
N(E_F): 0.60 states/eV per atom
Energy of formation from the pure elements: -0.9358 eV/atom
Magnetic moment: 0.00 μB per formula unit

Cell: 7.4987 7.4987 7.4987 Å, 31.64 31.64 31.64°
Fractional coordinates of all 4 atoms:
1 Th 0.0000 0.0000 0.0000
2 Th 0.1674 0.1674 0.1674
3 Pt 0.5844 0.5844 0.5844
4 Rh 0.4190 0.4190 0.4190